Pm2Ga3Rh4 | PBE | relaxed

Cell: 5.6957 15.2667 7.4097 Å, 90.00 90.00 90.00°
Closest atoms and distances in Å follow each position.
Space group Cmce (No. 64)
Inequivalent atoms, fractional coordinates:
1 Pm 0.0000 0.1085 0.0826 x8  7 Rh 2.93-3.23, 2 Ga 3.13
2 Ga 0.0000 0.0000 0.5000 x4  6 Rh 2.53-2.74
3 Ga 0.2500 0.2280 0.7500 x8  5 Rh 2.52-2.63
4 Rh 0.0000 0.1793 0.4790 x8  5 Ga 2.57-2.74
5 Rh 0.2500 0.0628 0.7500 x8  3 Ga 2.52-2.53

ΔE_f, kJ/mol of atoms: -79.77



La2Ir | PBE | relaxed

Cell: 5.0556 5.0556 3.1652 Å, 90.00 90.00 120.00°
Closest atoms and distances in Å follow each position.
Space group P6/mmm (No. 191)
Inequivalent atoms, fractional coordinates:
1 La 0.3333 0.6667 0.0000 x2  5 La 2.92-3.17
2 Ir 0.0000 0.0000 0.5000 x1  2 Ir 3.17, 12 La 3.32

ΔE_f, kJ/mol of atoms: -7.00



Ce2NdTmSb5 | PBE | relaxed

Cell: 5.2574 5.2574 11.7077 Å, 90.00 90.00 90.00°
Closest atoms and distances in Å follow each position.
Space group P4/mmm (No. 123)
Inequivalent atoms, fractional coordinates:
1 Ce 0.0000 0.0000 0.2136 x2  9 Sb 3.35-3.74
2 Nd 0.5000 0.5000 0.5000 x1  2 Sb 2.95
3 Tm 0.5000 0.5000 0.0000 x1  6 Sb 2.63-2.90
4 Sb 0.0000 0.0000 0.5000 x1  2 Ce 3.35, 4 Nd 3.72
5 Sb 0.0000 0.5000 0.0000 x2  2 Tm 2.63
6 Sb 0.5000 0.5000 0.2480 x2  1 Tm 2.90, 1 Nd 2.95

Formation energy (no corrections), kJ per mole of atoms: -33.0



FeAgS2 | PBE | relaxed

Cell: 3.3738 3.3738 20.3475 Å, 90.00 90.00 120.00°
Closest atoms and distances in Å follow each position.
Space group R3m (No. 160, hexagonal axes)
Inequivalent atoms, fractional coordinates:
1 Fe 0.0000 0.0000 0.0000 x3  6 S 2.27-2.30
2 Ag 0.0000 0.0000 0.1558 x3  1 S 2.45
3 S 0.0000 0.0000 0.2761 x3  3 Fe 2.27, 1 Ag 2.45
4 S 0.0000 0.0000 0.7270 x3  3 Fe 2.30

Formation energy (no corrections), kJ per mole of atoms: -18.3



BaU2PdS4 | PBE | relaxed

Cell: 4.0708 13.2972 13.7792 Å, 90.00 90.00 90.00°
Closest atoms and distances in Å follow each position.
Space group Cmcm (No. 63)
Inequivalent atoms, fractional coordinates:
1 Ba 0.0000 0.1141 0.2500 x4  6 S 3.07-3.26
2 U 0.0000 0.3704 0.0622 x8  6 S 2.71-2.80
3 Pd 0.0000 0.1594 0.7500 x4  4 S 2.43-2.44
4 S 0.0000 0.0000 0.0000 x4  4 U 2.80
5 S 0.0000 0.2651 0.6064 x8  1 Pd 2.43, 1 U 2.71
6 S 0.0000 0.4416 0.2500 x4  2 Pd 2.44

Formation energy (no corrections), kJ per mole of atoms: -134.6



Number 1: total moment 0.000 μB per cell. Number 2: total moment 0.000 μB per cell. Number 3: total moment 1.608 μB per cell. Number 4: total moment 3.000 μB per cell. Number 5: total moment 22.439 μB per cell.